VASP calculation (PBE-GGA) on crystalline Sr2TmMgHg6 at its relaxed geometry.

Output
Crystal system   triclinic
ΔH_f (0 K)   -0.32 eV per atom
Magnetic moment   0.00 Bohr magnetons per cell

Structure (POSCAR):
```
Sr2TmMgHg6
1.0
-3.975 -6.750 4.698
-1.477 -1.254 -5.573
3.215 -4.619 -0.867
Sr Tm Mg Hg
2 1 1 6
Direct
0.187 0.622 0.651
0.813 0.378 0.349
0.500 0.500 0.000
0.000 0.000 0.000
0.316 0.881 0.054
0.855 0.785 0.684
0.408 0.225 0.557
0.684 0.119 0.946
0.145 0.215 0.316
0.592 0.775 0.443
```



VASP calculation (PBE-GGA) on crystalline SrTm2MgHg4 at its relaxed geometry.

Output
Crystal system   trigonal
ΔH_f (0 K)   -0.41 eV per atom
Magnetic moment   0.00 Bohr magnetons per cell

Structure (POSCAR):
```
SrTm2MgHg4
1.0
5.155 0.000 0.000
2.578 4.465 0.000
2.578 1.488 8.927
Sr Tm Mg Hg
1 2 1 4
Direct
0.000 0.000 0.000
0.758 0.758 0.726
0.242 0.242 0.274
0.500 0.500 0.500
0.386 0.386 0.841
0.874 0.874 0.379
0.126 0.126 0.621
0.614 0.614 0.159
```



VASP calculation (PBE-GGA) on crystalline SrMg2ZnHg2 at its relaxed geometry.

Output
Crystal system   trigonal
ΔH_f (0 K)   -0.28 eV per atom
Magnetic moment   0.00 Bohr magnetons per cell

Structure (POSCAR):
```
SrMg2ZnHg2
1.0
4.747 0.000 0.000
-2.373 4.111 0.000
0.000 0.000 7.683
Sr Mg Zn Hg
1 2 1 2
Direct
0.000 0.000 0.000
0.333 0.667 0.634
0.667 0.333 0.366
0.000 0.000 0.500
0.333 0.667 0.248
0.667 0.333 0.752
```



VASP calculation (PBE-GGA) on crystalline SrMgZnHg2 at its relaxed geometry.

Output
Crystal system   tetragonal
ΔH_f (0 K)   -0.32 eV per atom
Magnetic moment   0.00 Bohr magnetons per cell

Structure (POSCAR):
```
SrMgZnHg2
1.0
4.458 0.000 0.000
0.000 4.458 0.000
-2.229 -2.229 6.434
Sr Mg Zn Hg
1 1 1 2
Direct
0.000 0.000 0.000
0.750 0.250 0.500
0.250 0.750 0.500
0.615 0.615 0.229
0.385 0.385 0.771
```



VASP calculation (PBE-GGA) on crystalline Sr2MgZn4Hg3 at its relaxed geometry.

Output
Crystal system   tetragonal
ΔH_f (0 K)   -0.28 eV per atom
Magnetic moment   0.00 Bohr magnetons per cell

Structure (POSCAR):
```
Sr2MgZn4Hg3
1.0
-0.971 3.977 1.723
-3.823 0.045 -2.260
-5.582 -5.408 9.337
Sr Mg Zn Hg
2 1 4 3
Direct
0.500 0.000 0.246
0.000 0.500 0.754
0.500 0.500 0.500
0.500 0.500 0.000
0.000 0.000 0.000
0.500 0.000 0.642
0.000 0.500 0.358
0.000 0.000 0.500
0.500 0.000 0.863
0.000 0.500 0.137
```



VASP calculation (PBE-GGA) on crystalline Sr2Mg12Zn3Hg at its relaxed geometry.

Output
Crystal system   trigonal
ΔH_f (0 K)   0.21 eV per atom
Magnetic moment   0.00 Bohr magnetons per cell

Structure (POSCAR):
```
Sr2Mg12Zn3Hg
1.0
-4.331 -6.238 -4.500
3.893 -2.489 -7.521
3.737 -7.993 0.257
Sr Mg Zn Hg
2 12 3 1
Direct
0.601 0.601 0.601
0.399 0.399 0.399
0.329 0.329 0.922
0.876 0.876 0.370
0.370 0.876 0.876
0.922 0.329 0.329
0.876 0.370 0.876
0.329 0.922 0.329
0.671 0.671 0.078
0.124 0.124 0.630
0.630 0.124 0.124
0.078 0.671 0.671
0.124 0.630 0.124
0.671 0.078 0.671
0.500 0.000 0.000
0.000 0.500 0.000
0.000 0.000 0.500
0.000 0.000 0.000
```



VASP calculation (PBE-GGA) on crystalline SrMgZn2Hg at its relaxed geometry.

Output
Crystal system   orthorhombic
ΔH_f (0 K)   -0.27 eV per atom
Magnetic moment   0.00 Bohr magnetons per cell

Structure (POSCAR):
```
SrMgZn2Hg
1.0
4.435 0.000 0.000
0.000 4.377 0.000
-2.218 -2.188 6.165
Sr Mg Zn Hg
1 1 2 1
Direct
0.449 0.449 0.899
0.192 0.692 0.385
0.678 0.178 0.355
0.058 0.058 0.116
0.835 0.835 0.670
```



VASP calculation (PBE-GGA) on crystalline Sr2MgZnHg6 at its relaxed geometry.

Output
Crystal system   triclinic
ΔH_f (0 K)   -0.26 eV per atom
Magnetic moment   0.00 Bohr magnetons per cell

Structure (POSCAR):
```
Sr2MgZnHg6
1.0
-5.555 4.012 -0.097
-2.309 -4.039 -6.778
-5.280 -4.634 -1.016
Sr Mg Zn Hg
2 1 1 6
Direct
0.254 0.810 0.460
0.746 0.190 0.540
0.500 0.500 0.000
0.000 0.000 0.000
0.149 0.655 0.088
0.633 0.701 0.177
0.243 0.176 0.521
0.851 0.345 0.912
0.367 0.299 0.823
0.757 0.824 0.479
```



VASP calculation (PBE-GGA) on crystalline MgTa2Hg at its relaxed geometry.

Output
Offset from the most stable computed form   713 meV/atom
Crystal system   tetragonal
ΔH_f (0 K)   0.84 eV per atom
Magnetic moment   0.00 Bohr magnetons per cell

Structure (POSCAR):
```
MgTa2Hg
1.0
7.769 0.000 0.000
0.000 7.769 0.000
3.884 3.884 2.719
Mg Hg Ta
2 2 4
Direct
0.500 0.500 0.000
0.250 0.750 0.500
0.000 0.000 0.000
0.750 0.250 0.500
0.633 0.125 0.250
0.117 0.625 0.250
0.375 0.367 0.750
0.875 0.883 0.750
```



VASP calculation (PBE-GGA) on crystalline MgTaHg at its relaxed geometry.

Output
Offset from the most stable computed form   0 meV/atom
Crystal system   orthorhombic
ΔH_f (0 K)   0.21 eV per atom
Magnetic moment   0.00 Bohr magnetons per cell

Structure (POSCAR):
```
MgTaHg
1.0
7.115 0.035 -0.036
6.494 2.903 0.015
0.621 0.075 2.867
Hg Mg Ta
1 1 1
Direct
0.001 0.001 0.999
0.332 0.332 0.668
0.667 0.667 0.333
```



VASP calculation (PBE-GGA) on crystalline MgTa2Hg at its relaxed geometry.

Output
Offset from the most stable computed form   539 meV/atom
Crystal system   cubic
ΔH_f (0 K)   0.67 eV per atom
Magnetic moment   0.00 Bohr magnetons per cell

Structure (POSCAR):
```
MgTa2Hg
1.0
0.000 3.354 3.354
3.354 0.000 3.354
3.354 3.354 0.000
Mg Hg Ta
1 1 2
Direct
0.000 0.000 0.000
0.500 0.500 0.500
0.250 0.250 0.250
0.750 0.750 0.750
```



VASP calculation (PBE-GGA) on crystalline Mg2TaHg at its relaxed geometry.

Output
Crystal system   tetragonal
ΔH_f (0 K)   0.18 eV per atom
Magnetic moment   0.00 Bohr magnetons per cell

Structure (POSCAR):
```
Mg2TaHg
1.0
-0.798 -0.833 -2.755
2.764 -1.020 -0.491
-2.437 -8.126 3.162
Hg Mg Ta
1 2 1
Direct
0.500 0.500 0.747
0.000 0.000 0.990
0.500 0.500 0.263
0.000 0.000 0.501
```



VASP calculation (PBE-GGA) on crystalline Mg2TaHg at its relaxed geometry.

Output
Crystal system   monoclinic
ΔH_f (0 K)   0.28 eV per atom
Magnetic moment   0.00 Bohr magnetons per cell

Structure (POSCAR):
```
Mg2TaHg
1.0
5.331 -0.007 0.023
4.509 2.843 0.023
0.994 0.286 5.313
Hg Mg Ta
1 2 1
Direct
0.747 0.747 0.731
0.007 0.007 0.009
0.249 0.249 0.250
0.497 0.497 0.510
```



VASP calculation (PBE-GGA) on crystalline MgTa2Hg at its relaxed geometry.

Output
Offset from the most stable computed form   191 meV/atom
Crystal system   orthorhombic
ΔH_f (0 K)   0.32 eV per atom
Magnetic moment   0.00 Bohr magnetons per cell

Structure (POSCAR):
```
MgTa2Hg
1.0
-0.756 2.592 -4.700
3.975 -3.676 0.248
-1.862 -2.070 -0.842
Hg Mg Ta
1 1 2
Direct
0.500 0.000 0.500
0.000 0.500 0.500
0.000 0.000 0.000
0.500 0.500 0.000
```



VASP calculation (PBE-GGA) on crystalline Mg2TaHg at its relaxed geometry.

Output
Crystal system   cubic
ΔH_f (0 K)   0.44 eV per atom
Magnetic moment   1.18 Bohr magnetons per cell

Structure (POSCAR):
```
Mg2TaHg
1.0
-1.918 -0.045 4.439
2.570 -1.700 3.727
1.655 3.036 3.380
Hg Mg Ta
1 2 1
Direct
0.500 0.500 0.500
0.000 0.000 0.000
0.250 0.250 0.250
0.750 0.750 0.750
```



VASP calculation (PBE-GGA) on crystalline MgTa2Hg at its relaxed geometry.

Output
Offset from the most stable computed form   257 meV/atom
Crystal system   tetragonal
ΔH_f (0 K)   0.38 eV per atom
Magnetic moment   0.00 Bohr magnetons per cell

Structure (POSCAR):
```
MgTa2Hg
1.0
2.913 0.000 0.000
0.000 2.913 0.000
0.000 0.000 8.965
Hg Mg Ta
1 1 2
Direct
0.500 0.500 0.250
0.500 0.500 0.750
0.000 0.000 0.996
0.000 0.000 0.504
```



VASP calculation (PBE-GGA) on crystalline Mg2TaHg at its relaxed geometry.

Output
Crystal system   trigonal
ΔH_f (0 K)   0.17 eV per atom
Magnetic moment   0.00 Bohr magnetons per cell

Structure (POSCAR):
```
Mg2TaHg
1.0
10.236 0.012 0.007
9.774 3.040 0.007
9.774 1.491 2.650
Hg Mg Ta
1 2 1
Direct
0.750 0.750 0.750
0.998 0.998 0.998
0.502 0.502 0.502
0.250 0.250 0.250
```



VASP calculation (PBE-GGA) on crystalline MgTa3Hg at its relaxed geometry.

Output
Offset from the most stable computed form   0 meV/atom
Crystal system   cubic
ΔH_f (0 K)   1.82 eV per atom
Magnetic moment   0.00 Bohr magnetons per cell

Structure (POSCAR):
```
MgTa3Hg
1.0
4.739 0.000 0.000
0.000 4.739 0.000
0.000 0.000 4.739
Mg Hg Ta
1 1 3
Direct
0.000 0.000 0.000
0.500 0.500 0.500
0.000 0.500 0.000
0.000 0.000 0.500
0.500 0.000 0.000
```



VASP calculation (PBE-GGA) on crystalline MgTa2Hg at its relaxed geometry.

Output
Offset from the most stable computed form   395 meV/atom
Crystal system   tetragonal
ΔH_f (0 K)   0.52 eV per atom
Magnetic moment   0.00 Bohr magnetons per cell

Structure (POSCAR):
```
MgTa2Hg
1.0
-2.904 0.208 -2.223
-2.097 -1.509 2.597
-1.185 5.143 2.030
Hg Mg Ta
1 1 2
Direct
0.500 0.500 0.250
0.500 0.500 0.750
0.000 0.000 0.004
0.000 0.000 0.496
```



VASP calculation (PBE-GGA) on crystalline Mg2TaHg at its relaxed geometry.

Output
Crystal system   orthorhombic
ΔH_f (0 K)   0.27 eV per atom
Magnetic moment   0.00 Bohr magnetons per cell

Structure (POSCAR):
```
Mg2TaHg
1.0
-0.399 0.353 2.968
-4.270 0.225 -0.601
-0.413 -6.055 0.664
Hg Mg Ta
1 2 1
Direct
0.500 0.500 0.744
0.000 0.000 0.000
0.500 0.500 0.257
0.000 0.000 0.499
```